(1)
VASP calculation (PBE-GGA) on an optimized crystal structure of Cs2MgCrSe4.

The calculation puts the formation energy (no corrections) at -0.9717 eV/atom.

Cell lengths 6.169, 14.672, 25.966 Å; angles 90.00, 90.00, 90.00 degrees
Space group Fddd (No. 70, origin choice 2)
One atom of each set of equivalent atoms:
Cs (0.125, 0.125, 0.303) [16 per cell]
Mg (0.125, 0.125, 0.125) [8 per cell]
Cr (0.125, 0.125, 0.625) [8 per cell]
Se (0.096, 0.282, 0.824) [32 per cell]

(2)
VASP calculation (PBE-GGA) on an optimized crystal structure of CsMnCr3.

For the energy of formation from the pure elements, the calculation gives 3.2244 eV per atom. Its energy relative to the lowest polymorph listed for this composition is 1932 meV per atom.

Cell lengths 4.914, 4.914, 4.914 Å; angles 90.00, 90.00, 90.00 degrees
Space group Pm-3m (No. 221)
One atom of each set of equivalent atoms:
Cs (0.000, 0.000, 0.000) [1 per cell]
Mn (0.500, 0.500, 0.500) [1 per cell]
Cr (0.000, 0.000, 0.500) [3 per cell]

(3)
VASP calculation (PBE-GGA) on an optimized crystal structure of CsMnCr3.

For the energy of formation from the pure elements, the calculation gives 1.2922 eV per atom. Its energy relative to the lowest polymorph listed for this composition is 0 meV per atom.

Cell lengths 4.856, 4.856, 4.856 Å; angles 90.00, 90.00, 90.00 degrees
Space group Pm-3m (No. 221)
One atom of each set of equivalent atoms:
Cs (0.000, 0.000, 0.000) [1 per cell]
Mn (0.500, 0.500, 0.500) [1 per cell]
Cr (0.000, 0.500, 0.500) [3 per cell]

(4)
VASP calculation (PBE-GGA) on an optimized crystal structure of CsMnCr2.

For the energy of formation from the pure elements, the calculation gives 1.8007 eV per atom.

Cell lengths 7.646, 7.646, 7.646 Å; angles 90.00, 90.00, 90.00 degrees
Space group Fm-3m (No. 225)
One atom of each set of equivalent atoms:
Cs (0.000, 0.000, 0.000) [4 per cell]
Mn (0.000, 0.000, 0.500) [4 per cell]
Cr (0.250, 0.250, 0.250) [8 per cell]

(5)
VASP calculation (PBE-GGA) on an optimized crystal structure of CsMn2Cr.

For the energy of formation from the pure elements, the calculation gives 1.6892 eV per atom.

Cell lengths 7.569, 7.569, 7.569 Å; angles 90.00, 90.00, 90.00 degrees
Space group Fm-3m (No. 225)
One atom of each set of equivalent atoms:
Cs (0.000, 0.000, 0.000) [4 per cell]
Mn (0.250, 0.250, 0.250) [8 per cell]
Cr (0.000, 0.000, 0.500) [4 per cell]